No. 1
# MnRe2Ni SCAN single point on PBEsol structure
# DOS at the Fermi energy: 2.8 states/eV/f.u.
# Energy relative to the lowest polymorph listed for this composition: 21 meV/atom
# ΔE_f: 0.011 eV/atom
data_MnRe2Ni
_chemical_formula_sum 'Mn2 Re4 Ni2'
_symmetry_space_group_name_H-M 'C 1 m 1'
_symmetry_Int_Tables_number 8
_symmetry_space_group_name_Hall 'C -2y'
_cell_length_a 8.6182
_cell_length_b 2.6318
_cell_length_c 4.5404
_cell_angle_alpha 90.00
_cell_angle_beta 99.40
_cell_angle_gamma 90.00
loop_
_atom_site_label
_atom_site_type_symbol
_atom_site_fract_x
_atom_site_fract_y
_atom_site_fract_z
_atom_site_occupancy
Mn1 Mn 0.0000 0.0000 0.0000 1
Re1 Re 0.0026 0.5000 0.5207 1
Re2 Re 0.2451 0.5000 0.2403 1
Ni1 Ni 0.2503 0.0000 0.7558 1

No. 2
# B2OsPtS SCAN single point on PBEsol structure
# DOS at the Fermi energy: 3.3 states/eV/f.u.
# Formation energy without anion corrections: 41.30 kcal/mol of atoms
data_B2OsPtS
_chemical_formula_sum 'B2 Os1 Pt1 S1'
_symmetry_space_group_name_H-M 'P 4/m m m'
_symmetry_Int_Tables_number 123
_symmetry_space_group_name_Hall '-P 4 2'
_cell_length_a 3.7979
_cell_length_b 3.7979
_cell_length_c 4.4729
_cell_angle_alpha 90.00
_cell_angle_beta 90.00
_cell_angle_gamma 90.00
loop_
_atom_site_label
_atom_site_type_symbol
_atom_site_fract_x
_atom_site_fract_y
_atom_site_fract_z
_atom_site_occupancy
B1 B 0.0000 0.5000 0.0000 1
Os1 Os 0.0000 0.0000 0.5000 1
Pt1 Pt 0.5000 0.5000 0.5000 1
S1 S 0.5000 0.5000 0.0000 1

No. 3
# K2GePtCl SCAN single point on PBEsol structure
# DOS at the Fermi energy: 2.0 states/eV/f.u.
# Formation energy without anion corrections: 1.85 kcal/mol of atoms
data_K2GePtCl
_chemical_formula_sum 'K2 Ge1 Pt1 Cl1'
_symmetry_space_group_name_H-M 'P 4/m m m'
_symmetry_Int_Tables_number 123
_symmetry_space_group_name_Hall '-P 4 2'
_cell_length_a 5.4436
_cell_length_b 5.4436
_cell_length_c 5.0725
_cell_angle_alpha 90.00
_cell_angle_beta 90.00
_cell_angle_gamma 90.00
loop_
_atom_site_label
_atom_site_type_symbol
_atom_site_fract_x
_atom_site_fract_y
_atom_site_fract_z
_atom_site_occupancy
K1 K 0.0000 0.5000 0.0000 1
Ge1 Ge 0.0000 0.0000 0.5000 1
Pt1 Pt 0.5000 0.5000 0.5000 1
Cl1 Cl 0.0000 0.0000 0.0000 1

No. 4
# H28RuS2N6O10 SCAN single point on PBEsol structure
# DOS at the Fermi energy: 0.0 states/eV/f.u.
# Energy: -613.46 eV/cell
data_H28RuS2N6O10
_chemical_formula_sum 'H56 Ru2 S4 N12 O20'
_symmetry_space_group_name_H-M 'P 1 21/c 1'
_symmetry_Int_Tables_number 14
_symmetry_space_group_name_Hall '-P 2ybc'
_cell_length_a 6.1147
_cell_length_b 9.8305
_cell_length_c 12.3319
_cell_angle_alpha 90.00
_cell_angle_beta 96.04
_cell_angle_gamma 90.00
loop_
_atom_site_label
_atom_site_type_symbol
_atom_site_fract_x
_atom_site_fract_y
_atom_site_fract_z
_atom_site_occupancy
H1 H 0.0379 0.1029 0.0732 1
H2 H 0.0984 0.0312 0.2933 1
H3 H 0.1285 0.2167 0.8089 1
H4 H 0.1467 0.5448 0.5871 1
H5 H 0.1726 0.6232 0.8303 1
H6 H 0.1959 0.2359 0.5458 1
H7 H 0.2780 0.1370 0.6493 1
H8 H 0.3256 0.6391 0.2879 1
H9 H 0.3286 0.0091 0.3723 1
H10 H 0.3372 0.6254 0.4243 1
H11 H 0.3435 0.0185 0.8435 1
H12 H 0.3899 0.2406 0.8405 1
H13 H 0.3908 0.1254 0.5296 1
H14 H 0.4284 0.0856 0.1380 1
Ru1 Ru 0.0000 0.0000 0.5000 1
S1 S 0.1894 0.6762 0.0794 1
N1 N 0.1679 0.5250 0.8591 1
N2 N 0.2459 0.1381 0.5649 1
N3 N 0.3984 0.5839 0.3552 1
O1 O 0.1267 0.7138 0.1924 1
O2 O 0.1478 0.0487 0.1202 1
O3 O 0.1569 0.6901 0.5134 1
O4 O 0.2776 0.1756 0.8040 1
O5 O 0.4363 0.6513 0.0940 1

No. 5
# Y2ZrRu SCAN single point on PBEsol structure
# DOS at the Fermi energy: 4.7 states/eV/f.u.
# Energy relative to the lowest polymorph listed for this composition: 463 meV/atom
# ΔE_f: 0.162 eV/atom
data_Y2ZrRu
_chemical_formula_sum 'Y4 Zr2 Ru2'
_symmetry_space_group_name_H-M 'I -4 m 2'
_symmetry_Int_Tables_number 119
_symmetry_space_group_name_Hall 'I -4 -2'
_cell_length_a 4.1204
_cell_length_b 4.1204
_cell_length_c 10.1800
_cell_angle_alpha 90.00
_cell_angle_beta 90.00
_cell_angle_gamma 90.00
loop_
_atom_site_label
_atom_site_type_symbol
_atom_site_fract_x
_atom_site_fract_y
_atom_site_fract_z
_atom_site_occupancy
Y1 Y 0.0000 0.0000 0.0000 1
Y2 Y 0.0000 0.5000 0.2500 1
Zr1 Zr 0.0000 0.0000 0.5000 1
Ru1 Ru 0.0000 0.5000 0.7500 1

No. 6
# LaIn2AgRu SCAN single point on PBEsol structure
# DOS at the Fermi energy: 3.8 states/eV/f.u.
# ΔE_f: 0.700 eV/atom
data_LaIn2AgRu
_chemical_formula_sum 'La1 In2 Ag1 Ru1'
_symmetry_space_group_name_H-M 'P 4/m m m'
_symmetry_Int_Tables_number 123
_symmetry_space_group_name_Hall '-P 4 2'
_cell_length_a 4.9493
_cell_length_b 4.9493
_cell_length_c 5.5694
_cell_angle_alpha 90.00
_cell_angle_beta 90.00
_cell_angle_gamma 90.00
loop_
_atom_site_label
_atom_site_type_symbol
_atom_site_fract_x
_atom_site_fract_y
_atom_site_fract_z
_atom_site_occupancy
La1 La 0.0000 0.0000 0.0000 1
In1 In 0.0000 0.5000 0.5000 1
Ag1 Ag 0.0000 0.0000 0.5000 1
Ru1 Ru 0.5000 0.5000 0.0000 1